# 1
LiYBi2: relaxed, PBE.

Lattice parameters (Å, degrees): 8.141 8.141 6.638 52.18 52.18 90.00
Sites, in units of the cell vectors:
1 Bi 0.875 0.839 0.750
2 Bi 0.161 0.625 0.250
3 Bi 0.375 0.411 0.750
4 Bi 0.589 0.125 0.250
5 Y 0.750 0.250 0.500
6 Y 0.000 0.000 0.000
7 Li 0.250 0.750 0.500
8 Li 0.500 0.500 0.000

Output
**Symmetry**: I-42d
**DFT total energy**: -4.4864 eV per atom
**Energy relative to the lowest polymorph listed for this composition**: 167 meV/atom

# 2
Ca2YEr: relaxed, PBE.

Lattice parameters (Å, degrees): 3.651 3.651 12.524 81.62 81.62 60.00
Sites, in units of the cell vectors:
1 Er 0.000 0.000 0.000
2 Ca 0.750 0.750 0.751
3 Ca 0.250 0.250 0.249
4 Y 0.500 0.500 0.500

Output
**Symmetry**: R-3m
**DFT total energy**: -3.6126 eV per atom
**Energy relative to the lowest polymorph listed for this composition**: 8 meV/atom

# 3
Ce4NdTh15: relaxed, PBE.

Lattice parameters (Å, degrees): 4.999 4.999 24.915 90.00 90.00 90.00
Sites, in units of the cell vectors:
1 Th 0.500 0.000 0.897
2 Th 0.500 0.000 0.500
3 Th 0.500 0.000 0.103
4 Th 0.500 0.500 0.203
5 Th 0.500 0.500 0.401
6 Th 0.500 0.500 0.000
7 Th 0.500 0.500 0.797
8 Th 0.500 0.500 0.599
9 Th 0.000 0.500 0.698
10 Th 0.500 0.000 0.302
11 Th 0.000 0.500 0.103
12 Th 0.000 0.500 0.897
13 Th 0.000 0.500 0.302
14 Th 0.000 0.500 0.500
15 Th 0.500 0.000 0.698
16 Ce 0.000 0.000 0.599
17 Ce 0.000 0.000 0.202
18 Ce 0.000 0.000 0.401
19 Ce 0.000 0.000 0.798
20 Nd 0.000 0.000 0.000

Output
**Symmetry**: P4/mmm
**DFT total energy**: -6.9742 eV per atom

# 4
Nd3YTm7: relaxed, PBE.

Lattice parameters (Å, degrees): 8.632 7.019 7.019 120.00 90.00 90.00
Sites, in units of the cell vectors:
1 Tm 0.444 0.335 0.167
2 Tm 0.121 0.167 0.833
3 Tm 0.444 0.833 0.167
4 Tm 0.444 0.833 0.665
5 Tm 0.121 0.666 0.833
6 Tm 0.121 0.167 0.334
7 Tm 0.123 0.667 0.333
8 Nd 0.784 0.500 0.500
9 Nd 0.784 0.999 0.500
10 Nd 0.784 0.500 0.001
11 Y 0.444 0.333 0.667

Output
**Symmetry**: P3m1
**DFT total energy**: -4.5529 eV per atom
**Energy relative to the lowest polymorph listed for this composition**: 21 meV/atom

Short version: spin magnetization = 0.00; 0.17; 0.00; 0.00 μB per cell, in the order given.
Short version: E_form = -0.45; 0.14; 0.02; 0.18 eV/atom, in the order given.